No. 1
Below is a relaxed SrAg2Se crystal, with properties calculated at the PBE level.

Unit cell a=4.214 b=4.214 c=5.829 alpha=90.00 beta=90.00 gamma=90.37
Fractional coordinates of all 4 atoms:
Sr 0.000 0.000 0.000
Ag 0.254 0.254 0.500
Ag 0.746 0.746 0.500
Se 0.500 0.500 0.000

Properties
Formation energy from raw total energies ... -573 meV per atom

=====

No. 2
Below is a relaxed Ca3ThTl12 crystal, with properties calculated at the PBE level.

Unit cell a=4.863 b=4.863 c=19.307 alpha=90.00 beta=90.00 gamma=90.00
Fractional coordinates of all 16 atoms:
Ca 0.000 0.000 0.000
Ca 0.000 0.000 0.252
Ca 0.000 0.000 0.748
Th 0.000 0.000 0.500
Tl 0.000 0.500 0.126
Tl 0.000 0.500 0.374
Tl 0.000 0.500 0.626
Tl 0.000 0.500 0.874
Tl 0.500 0.000 0.126
Tl 0.500 0.000 0.374
Tl 0.500 0.000 0.626
Tl 0.500 0.000 0.874
Tl 0.500 0.500 0.000
Tl 0.500 0.500 0.249
Tl 0.500 0.500 0.500
Tl 0.500 0.500 0.751

Properties
Calculated formation energy ... -0.208 eV per atom